(1)
NaSrLiTl | PBE | relaxed

a = 5.5653 Å, b = 5.5653 Å, c = 5.5653 Å
α = 60.00°, β = 60.00°, γ = 60.00°
Closest atoms and distances in Å follow each position.
Sites, in units of the cell vectors:
Na: 0.0000 0.0000 0.0000  4 Li 3.41, 4 Sr 3.41
Sr: 0.2500 0.2500 0.2500  4 Tl 3.41, 4 Na 3.41
Li: 0.7500 0.7500 0.7500  4 Tl 3.41, 4 Na 3.41
Tl: 0.5000 0.5000 0.5000  4 Li 3.41, 4 Sr 3.41

Properties
Formation energy   -0.5 eV/f.u.



(2)
CaAl2Cl8 | PBE | relaxed

a = 12.8888 Å, b = 12.8888 Å, c = 12.8888 Å
α = 125.73°, β = 125.73°, γ = 80.33°
Closest atoms and distances in Å follow each position.
Sites, in units of the cell vectors:
Ca: 0.1250 0.8750 0.2500  4 Cl 2.83
Ca: 0.3750 0.6250 0.7500  4 Cl 2.83
Ca: 0.6250 0.3750 0.2500  4 Cl 2.83
Ca: 0.8750 0.1250 0.7500  4 Cl 2.83
Al: 0.2293 0.2500 0.4793  4 Cl 2.15-2.17
Al: 0.2500 0.2707 0.0207  4 Cl 2.15-2.17
Al: 0.2500 0.7707 0.5207  4 Cl 2.15-2.17
Al: 0.2707 0.7500 0.0207  4 Cl 2.15-2.17
Al: 0.7293 0.2500 0.9793  4 Cl 2.15-2.17
Al: 0.7500 0.2293 0.4793  4 Cl 2.15-2.17
Al: 0.7500 0.7293 0.9793  4 Cl 2.15-2.17
Al: 0.7707 0.7500 0.5207  4 Cl 2.15-2.17
Cl: 0.0768 0.6949 0.9486  1 Al 2.17
Cl: 0.0892 0.8620 0.4657  1 Al 2.15
Cl: 0.1037 0.3765 0.9657  1 Al 2.15
Cl: 0.1235 0.3963 0.5343  1 Al 2.15
Cl: 0.1283 0.0768 0.8819  1 Al 2.17
Cl: 0.1380 0.1037 0.2272  1 Al 2.15
Cl: 0.1949 0.5768 0.4486  1 Al 2.17
Cl: 0.2464 0.1283 0.5514  1 Al 2.17
Cl: 0.2536 0.8051 0.8819  1 Al 2.17
Cl: 0.3051 0.7536 0.3819  1 Al 2.17
Cl: 0.3620 0.5892 0.9657  1 Al 2.15
Cl: 0.3717 0.2536 0.9486  1 Al 2.17
Cl: 0.3765 0.9108 0.2728  1 Al 2.15
Cl: 0.3963 0.3620 0.2728  1 Al 2.15
Cl: 0.4108 0.8765 0.7728  1 Al 2.15
Cl: 0.4232 0.3717 0.6181  1 Al 2.17
Cl: 0.5768 0.6283 0.3819  1 Al 2.17
Cl: 0.5892 0.1235 0.2272  1 Al 2.15
Cl: 0.6037 0.6380 0.7272  1 Al 2.15
Cl: 0.6235 0.0892 0.7272  1 Al 2.15
Cl: 0.6283 0.7464 0.0514  1 Al 2.17
Cl: 0.6380 0.4108 0.0343  1 Al 2.15
Cl: 0.6949 0.2464 0.6181  1 Al 2.17
Cl: 0.7464 0.1949 0.1181  1 Al 2.17
Cl: 0.7536 0.8717 0.4486  1 Al 2.17
Cl: 0.8051 0.4232 0.5514  1 Al 2.17
Cl: 0.8620 0.8963 0.7728  1 Al 2.15
Cl: 0.8717 0.9232 0.1181  1 Al 2.17
Cl: 0.8765 0.6037 0.4657  1 Al 2.15
Cl: 0.8963 0.6235 0.0343  1 Al 2.15
Cl: 0.9108 0.1380 0.5343  1 Al 2.15
Cl: 0.9232 0.3051 0.0514  1 Al 2.17

Properties
Energy above the most stable polymorph in this dataset   0.000 eV per formula unit
ΔE_f (raw)   -1890 kJ/mol of formula units



(3)
ScOsN2 | PBE | relaxed

a = 3.8639 Å, b = 3.8639 Å, c = 3.8639 Å
α = 60.00°, β = 60.00°, γ = 60.00°
Closest atoms and distances in Å follow each position.
Sites, in units of the cell vectors:
Sc: 0.0000 0.0000 0.0000  8 N 2.37
Os: 0.5000 0.5000 0.5000  8 N 2.37
N: 0.2500 0.2500 0.2500  4 Os 2.37, 4 Sc 2.37
N: 0.7500 0.7500 0.7500  4 Os 2.37, 4 Sc 2.37

Properties
Energy above the most stable polymorph in this dataset   2.127 eV per formula unit
ΔE_f (raw)   29 kJ/mol of formula units



(4)
FePBrCl2 | PBE | relaxed

a = 5.0517 Å, b = 5.0517 Å, c = 5.1805 Å
α = 90.00°, β = 90.00°, γ = 90.00°
Closest atoms and distances in Å follow each position.
Sites, in units of the cell vectors:
Fe: 0.0000 0.0000 0.0000  4 P 3.57, 8 Cl 3.62
P: 0.5000 0.5000 0.0000  2 Br 2.59
Br: 0.5000 0.5000 0.5000  4 Cl 2.53, 2 P 2.59
Cl: 0.0000 0.5000 0.5000  2 Br 2.53
Cl: 0.5000 0.0000 0.5000  2 Br 2.53

Properties
Energy above the most stable polymorph in this dataset   4.678 eV per formula unit
ΔE_f (raw)   564 kJ/mol of formula units



(5)
Ti15Al2Zn2 | PBE | relaxed

a = 7.0529 Å, b = 7.0529 Å, c = 7.0529 Å
α = 77.89°, β = 77.89°, γ = 77.89°
Closest atoms and distances in Å follow each position.
Sites, in units of the cell vectors:
Ti: 0.0000 0.0000 0.5000  8 Ti 2.72-2.78, 2 Zn 2.78
Ti: 0.0000 0.3024 0.6976  6 Ti 2.64-2.78
Ti: 0.0000 0.5000 0.0000  8 Ti 2.72-2.78, 2 Zn 2.78
Ti: 0.0000 0.6976 0.3024  6 Ti 2.64-2.78
Ti: 0.1646 0.6203 0.6203  6 Ti 2.51-2.72
Ti: 0.3024 0.0000 0.6976  6 Ti 2.64-2.78
Ti: 0.3024 0.6976 0.0000  6 Ti 2.64-2.78
Ti: 0.3797 0.3797 0.8354  6 Ti 2.51-2.72
Ti: 0.3797 0.8354 0.3797  6 Ti 2.51-2.72
Ti: 0.5000 0.0000 0.0000  8 Ti 2.72-2.78, 2 Zn 2.78
Ti: 0.6203 0.1646 0.6203  6 Ti 2.51-2.72
Ti: 0.6203 0.6203 0.1646  6 Ti 2.51-2.72
Ti: 0.6976 0.0000 0.3024  6 Ti 2.64-2.78
Ti: 0.6976 0.3024 0.0000  6 Ti 2.64-2.78
Ti: 0.8354 0.3797 0.3797  6 Ti 2.51-2.72
Al: 0.3021 0.3021 0.3021  1 Zn 3.06, 15 Ti 3.13-3.36
Al: 0.6979 0.6979 0.6979  1 Zn 3.06, 15 Ti 3.13-3.36
Zn: 0.0919 0.0919 0.0919  1 Zn 2.68, 9 Ti 2.78-3.00
Zn: 0.9081 0.9081 0.9081  1 Zn 2.68, 9 Ti 2.78-3.00

Properties
Formation energy   4.4 eV/f.u.



(6)
NaGaNiS3 | PBE | relaxed

a = 7.3387 Å, b = 3.4413 Å, c = 9.9363 Å
α = 90.00°, β = 99.96°, γ = 90.00°
Closest atoms and distances in Å follow each position.
Sites, in units of the cell vectors:
Na: 0.1620 0.2500 0.2584  6 S 2.94-2.98
Na: 0.8380 0.7500 0.7416  6 S 2.94-2.98
Ga: 0.2969 0.2500 0.6482  4 S 2.25-2.39
Ga: 0.7031 0.7500 0.3518  4 S 2.25-2.39
Ni: 0.3632 0.7500 0.8693  4 S 2.27
Ni: 0.6368 0.2500 0.1307  4 S 2.27
S: 0.1585 0.2500 0.8488  2 Ni 2.27, 1 Ga 2.39
S: 0.2447 0.7500 0.5012  2 Ga 2.25
S: 0.4507 0.7500 0.1687  2 Ni 2.27, 1 Ga 2.36
S: 0.5493 0.2500 0.8313  2 Ni 2.27, 1 Ga 2.36
S: 0.7553 0.2500 0.4988  2 Ga 2.25
S: 0.8415 0.7500 0.1512  2 Ni 2.27, 1 Ga 2.39

Properties
ΔE_f (raw)   -346 kJ/mol of formula units



What are the Fermi-level density of states values for these records? In order: 5.242 0.000 3.247 4.484 27.492 1.984 states/eV/cell.